No. 1
CaZnGa2 | Alexandria via LeMat-Bulk | PBE | optimized geometry; energy of formation = -0.371 eV per atom; M_tot = 0.000 μB/cell; Fermi-level density of states = 0.504 states/eV per atom
1.0
-3.542 1.212 1.992
-3.609 -10.508 -0.027
6.331 -2.207 12.601
Ga Ca Zn
16 8 8
direct
0.250 0.253 0.296
0.250 0.247 0.796
0.250 0.045 0.370
0.750 0.738 0.383
0.250 0.262 0.617
0.750 0.747 0.704
0.250 0.455 0.870
0.250 0.050 0.019
0.750 0.955 0.630
0.250 0.450 0.519
0.750 0.753 0.204
0.250 0.238 0.117
0.750 0.545 0.130
0.750 0.950 0.981
0.750 0.550 0.481
0.750 0.762 0.883
0.250 0.537 0.297
0.750 0.463 0.703
0.250 0.745 0.045
0.250 0.963 0.797
0.250 0.755 0.545
0.750 0.037 0.203
0.750 0.255 0.955
0.750 0.245 0.455
0.750 0.167 0.706
0.250 0.667 0.794
0.250 0.833 0.294
0.750 0.333 0.206
0.750 0.952 0.447
0.250 0.452 0.053
0.250 0.048 0.553
0.750 0.548 0.947

***

No. 2
Ca3Zn2Ga | Alexandria via LeMat-Bulk | PBE | optimized geometry; energy of formation = -0.321 eV per atom; M_tot = 0.000 μB/cell; Fermi-level density of states = 0.457 states/eV per atom; E above lowest polymorph = 0 meV/atom
1.0
-2.689 -4.433 -0.349
4.850 -0.043 1.868
-4.527 1.818 11.796
Zn Ca Ga
4 6 2
direct
0.333 0.667 0.170
0.667 0.333 0.830
0.000 0.000 0.000
0.000 0.000 0.500
0.000 0.000 0.252
0.333 0.667 0.418
0.000 0.000 0.748
0.667 0.333 0.582
0.333 0.667 0.916
0.667 0.333 0.084
0.667 0.333 0.331
0.333 0.667 0.669

***

No. 3
Ca2ZnGa3 | Alexandria via LeMat-Bulk | PBE | optimized geometry; energy of formation = -0.463 eV per atom; M_tot = 0.000 μB/cell; Fermi-level density of states = 0.355 states/eV per atom; E above lowest polymorph = 19 meV/atom
1.0
-5.050 0.974 -2.830
-1.631 -4.544 3.339
1.158 6.665 5.320
Ga Ca Zn
6 4 2
direct
0.165 0.667 0.833
0.333 0.835 0.167
0.167 0.167 0.334
0.835 0.333 0.167
0.667 0.165 0.833
0.833 0.833 0.666
0.746 0.746 0.000
0.750 0.250 0.500
0.250 0.750 0.500
0.254 0.254 0.000
0.333 0.333 0.666
0.667 0.667 0.334

***

No. 4
Ca2ZnGa | Alexandria via LeMat-Bulk | PBE | optimized geometry; energy of formation = 0.418 eV per atom; M_tot = 0.000 μB/cell; Fermi-level density of states = 0.973 states/eV per atom
1.0
-4.774 -1.891 4.841
5.794 -3.479 -2.033
5.755 3.632 -1.868
Ga Zn Ca
1 1 2
direct
0.000 0.500 0.500
0.000 0.000 0.000
0.000 0.753 0.753
0.000 0.247 0.247

***

No. 5
Ca2ZnGa6 | Alexandria via LeMat-Bulk | PBE | optimized geometry; energy of formation = -0.331 eV per atom; M_tot = 0.000 μB/cell; Fermi-level density of states = 0.333 states/eV per atom
1.0
6.013 0.000 0.000
-3.007 5.054 1.236
0.000 0.285 6.101
Zn Ga Ca
1 6 2
direct
0.000 0.000 0.000
0.121 0.241 0.327
0.588 0.729 0.334
0.859 0.271 0.666
0.879 0.759 0.673
0.412 0.271 0.666
0.141 0.729 0.334
0.648 0.295 0.152
0.352 0.705 0.848

***

No. 6
Ca2Zn2Ga | Alexandria via LeMat-Bulk | PBE | optimized geometry; energy of formation = -0.181 eV per atom; M_tot = 0.000 μB/cell; Fermi-level density of states = 0.749 states/eV per atom
1.0
3.653 0.000 0.000
0.000 3.653 0.000
1.827 1.827 9.270
Zn Ca Ga
2 2 1
direct
0.750 0.250 0.500
0.250 0.750 0.500
0.400 0.400 0.201
0.600 0.600 0.799
0.000 0.000 0.000

***

No. 7
Ca2Zn2Ga3 | Alexandria via LeMat-Bulk | PBE | optimized geometry; energy of formation = -0.348 eV per atom; M_tot = 0.000 μB/cell; Fermi-level density of states = 0.466 states/eV per atom
1.0
4.338 0.000 0.000
-2.169 5.149 -1.873
0.000 -0.691 6.775
Ga Ca Zn
3 2 2
direct
0.407 0.814 0.572
0.500 0.000 0.000
0.593 0.186 0.428
0.150 0.301 0.775
0.850 0.699 0.225
0.850 0.700 0.737
0.150 0.300 0.263

***

No. 8
Ca5Zn4Ga | Alexandria via LeMat-Bulk | PBE | optimized geometry; energy of formation = -0.281 eV per atom; M_tot = 0.000 μB/cell; Fermi-level density of states = 0.704 states/eV per atom
1.0
3.678 0.000 0.000
0.000 3.678 0.000
0.000 0.000 18.380
Ca Zn Ga
5 4 1
direct
0.500 0.500 0.500
0.500 0.500 0.701
0.500 0.500 0.299
0.500 0.500 0.099
0.500 0.500 0.901
0.000 0.000 0.198
0.000 0.000 0.400
0.000 0.000 0.802
0.000 0.000 0.600
0.000 0.000 0.000